1.
The following is a DFT calculation (GGA-PBE) of a relaxed structure of La2TiAl.

a b c (Å): 8.420 8.420 6.676
angles (deg): 50.90 50.90 90.00
Atoms (fractional coordinates):
Ti (0.000, 0.000, 0.000)
Ti (0.750, 0.250, 0.500)
La (0.630, 0.125, 0.250)
La (0.120, 0.625, 0.250)
La (0.875, 0.880, 0.750)
La (0.375, 0.370, 0.750)
Al (0.500, 0.500, 0.000)
Al (0.250, 0.750, 0.500)

***

2.
The following is a DFT calculation (GGA-PBE) of a relaxed structure of LaTi2Al2.

a b c (Å): 4.361 4.361 6.540
angles (deg): 70.52 70.52 90.00
Last column: magnetic moment on the atom in μB.
Atoms (fractional coordinates):
Ti (0.388, 0.388, 0.224)  0.40
Ti (0.612, 0.612, 0.776)  0.40
La (0.000, 0.000, 0.000)  0.03
Al (0.750, 0.250, 0.500)  -0.01
Al (0.250, 0.750, 0.500)  -0.01

The value obtained for the energy relative to the lowest polymorph listed for this composition is 259 meV per atom.

***

3.
The following is a DFT calculation (GGA-PBE) of a relaxed structure of LaAlTl.

a b c (Å): 4.636 4.636 4.469
angles (deg): 90.00 90.00 120.00
Atoms (fractional coordinates):
Al (0.000, 0.000, 0.872)
Tl (0.667, 0.333, 0.798)
La (0.333, 0.667, 0.330)

***

4.
The following is a DFT calculation (GGA-PBE) of a relaxed structure of La12Al3Tl.

a b c (Å): 5.000 5.000 19.963
angles (deg): 90.00 90.00 90.00
Atoms (fractional coordinates):
La (0.000, 0.500, 0.624)
La (0.500, 0.500, 0.253)
La (0.000, 0.500, 0.130)
La (0.500, 0.000, 0.130)
La (0.000, 0.500, 0.870)
La (0.500, 0.500, 0.500)
La (0.500, 0.000, 0.376)
La (0.500, 0.500, 0.000)
La (0.500, 0.500, 0.747)
La (0.000, 0.500, 0.376)
La (0.500, 0.000, 0.870)
La (0.500, 0.000, 0.624)
Al (0.000, 0.000, 0.252)
Al (0.000, 0.000, 0.500)
Al (0.000, 0.000, 0.748)
Tl (0.000, 0.000, 0.000)

***

Result set for E_tot: -5.011, -5.595, -4.025, -4.746 eV/atom, one per record in the order listed.